1.
A geometry-optimized LaZr2Al structure, computed with PBE.

Space group: Pmm2 (25)
DFT formation energy, eV per atom: -0.1019

Geometry as POSCAR:
```
LaZr2Al
1.0
-2.227 -1.784 -1.662
2.982 -2.341 -1.483
-0.680 -4.517 5.762
Al Zr La
1 2 1
Direct
0.000 0.000 0.455
0.000 0.000 0.040
0.500 0.500 0.270
0.500 0.500 0.735
```


2.
A geometry-optimized RbCu2AsI6 structure, computed with PBE.

Space group: C2/c (15)
Energy relative to the elements, uncorrected, eV per formula unit: -3.9

Geometry as POSCAR:
```
RbCu2AsI6
1.0
-7.541 -0.793 -0.104
0.343 -10.365 -1.806
-0.669 -2.323 10.245
Rb Cu As I
2 4 2 12
Direct
0.250 0.919 0.081
0.750 0.081 0.919
0.231 0.661 0.518
0.269 0.482 0.339
0.769 0.339 0.482
0.731 0.518 0.661
0.250 0.271 0.729
0.750 0.729 0.271
0.160 0.018 0.740
0.340 0.260 0.982
0.840 0.982 0.260
0.660 0.740 0.018
0.412 0.828 0.395
0.088 0.605 0.172
0.588 0.172 0.605
0.912 0.395 0.828
0.892 0.698 0.539
0.608 0.461 0.302
0.108 0.302 0.461
0.392 0.539 0.698
```


3.
A geometry-optimized Tl3OsBr2Cl6 structure, computed with PBE.

Space group: C2/m (12)
Energy relative to the elements, uncorrected, eV per formula unit: -7.8

Geometry as POSCAR:
```
Tl3OsBr2Cl6
1.0
-0.475 0.287 5.827
-7.476 -4.214 -0.402
7.635 -4.852 0.675
Tl Os Br Cl
3 1 2 6
Direct
0.000 0.500 0.000
0.500 0.500 0.500
0.500 0.000 0.500
0.500 0.000 0.000
0.117 0.691 0.383
0.883 0.309 0.617
0.722 0.257 0.130
0.278 0.743 0.870
0.735 0.884 0.769
0.265 0.116 0.231
0.278 0.127 0.870
0.722 0.873 0.130
```


4.
A geometry-optimized ZrPt3S structure, computed with PBE.

Space group: Pm-3m (221)
Energy relative to the elements, uncorrected, eV per formula unit: 5.7
Polymorph energy (0 for the lowest one), kJ/mol of formula units: 563.6

Geometry as POSCAR:
```
ZrPt3S
1.0
-0.632 4.920 -0.312
-3.685 -0.680 -3.265
-3.274 -0.184 3.735
S Zr Pt
1 1 3
Direct
0.500 0.500 0.500
0.000 0.000 0.000
0.000 0.500 0.000
0.000 0.000 0.500
0.500 0.000 0.000
```


Number 1: M_tot 0.00 μB per cell. Number 2: M_tot 0.00 μB per cell. Number 3: M_tot 2.78 μB per cell. Number 4: M_tot 0.00 μB per cell.